Record 1
Mg2AgSb | Alexandria | PBE-GGA | optimized geometry; space group = Cm (8); formation energy from raw total energies = -12.3 kJ/mol of atoms; energy above the lowest structure with this stoichiometry = 0.26 eV per formula unit; VASP energy = -0.0980 hartree per atom
1.0
-6.000 -2.560 1.082
-4.087 -4.404 2.761
-1.685 1.930 4.041
Ag Mg Sb
1 2 1
Cartesian
-8.848 -3.689 6.029
-2.075 1.448 3.954
-2.945 -1.175 2.066
-5.475 -2.205 3.816

Record 2
NaPrSnHg | Alexandria | PBE-GGA | optimized geometry; space group = F-43m (216); energy above the lowest structure with this stoichiometry = 0.00 eV per formula unit; VASP energy = -0.1125 hartree per atom; calculated formation energy = -0.461 eV/atom
1.0
-3.840 -1.648 3.400
1.247 -3.285 4.084
-0.088 1.842 5.062
Pr Na Hg Sn
1 1 1 1
Cartesian
-1.340 -1.545 6.273
0.000 0.000 0.000
-2.011 -2.318 9.410
-0.670 -0.773 3.137

Record 3
Li2Dy2GaRh5 | Alexandria | PBE-GGA | optimized geometry; space group = P4/mbm (127); VASP energy = -0.2137 hartree per atom; calculated formation energy = -0.535 eV/atom
1.0
-2.731 -1.774 1.473
5.762 -3.509 6.455
-1.758 7.307 5.541
Li Dy Ga Rh
4 4 2 10
Cartesian
-0.400 4.108 4.205
4.404 -0.310 7.791
2.022 4.259 8.878
1.982 -0.461 3.118
3.592 -1.080 5.359
0.411 4.878 6.638
0.457 1.732 2.933
3.547 2.066 9.063
0.000 0.000 0.000
2.002 1.899 5.998
-0.312 -1.107 2.425
1.585 3.130 11.045
-2.376 4.695 5.587
1.928 -0.197 7.673
3.649 -2.672 7.882
-0.655 2.220 5.797
0.669 2.261 8.299
0.604 -0.237 5.171
1.516 -2.642 3.964
-2.245 2.766 3.507

Record 4
LiMn2HPd | Alexandria | PBE-GGA | optimized geometry; space group = P4/mmm (123); VASP energy = -0.2129 hartree per atom
1.0
3.869 0.000 0.000
0.000 3.869 0.000
0.000 0.000 3.893
H Mn Pd Li
1 2 1 1
Cartesian
0.000 0.000 0.000
0.000 1.935 0.000
1.935 0.000 0.000
1.935 1.935 1.947
0.000 0.000 1.947

Record 5
Ba2ZnPb3 | Alexandria | PBE-GGA | optimized geometry; space group = Cm (8); energy above the lowest structure with this stoichiometry = 0.00 eV per formula unit; VASP energy = -0.1142 hartree per atom; calculated formation energy = -0.399 eV/atom
1.0
-3.028 4.016 0.762
-3.339 -0.474 6.214
2.865 4.626 3.986
Ba Zn Pb
2 1 3
Cartesian
-0.269 5.408 4.396
-3.158 2.825 6.528
-1.211 1.600 3.735
-2.477 6.469 7.008
-2.829 3.803 2.679
-0.564 4.399 8.539

Record 6
MnCdIr2 | Alexandria | PBE-GGA | optimized geometry; space group = I-42d (122); VASP energy = -0.2377 hartree per atom; calculated formation energy = 0.485 eV/atom
1.0
-3.279 -4.500 4.540
-1.586 -4.370 -5.477
-0.168 -5.716 -0.103
Ir Mn Cd
4 2 2
Cartesian
-2.137 -4.578 1.916
-1.596 -4.932 -2.670
-2.024 -7.816 -0.683
-4.310 -11.845 -0.643
-2.433 -4.435 -0.469
-2.093 -7.260 -3.024
0.000 0.000 0.000
-2.940 -7.325 1.984

Record 7
VTcSe2Br | Alexandria | PBE-GGA | optimized geometry; space group = P4/mmm (123); formation energy from raw total energies = 59.2 kJ/mol of atoms; energy above the lowest structure with this stoichiometry = 0.00 eV per formula unit; VASP energy = -0.1842 hartree per atom
1.0
-2.161 1.551 -4.022
-1.111 -4.547 -1.157
-4.356 0.427 2.505
Se Tc Br V
2 1 1 1
Cartesian
-0.555 -2.274 -0.578
-1.080 0.776 -2.011
-3.814 -1.285 -1.337
-2.178 0.213 1.252
0.000 0.000 0.000

Record 8
CdSiSb | Alexandria | PBE-GGA | optimized geometry; space group = Fmm2 (42); formation energy from raw total energies = 36.6 kJ/mol of atoms; energy above the lowest structure with this stoichiometry = 0.00 eV per formula unit; VASP energy = -0.1142 hartree per atom
1.0
6.311 -0.283 0.216
5.441 3.010 0.641
0.870 -0.461 3.288
Cd Sb Si
1 1 1
Cartesian
11.568 2.673 0.898
8.360 1.733 1.615
4.444 0.586 2.490

Record 9
Fe5Ag | Alexandria | PBE-GGA | optimized geometry; space group = C2/m (12); VASP energy = -0.2682 hartree per atom; calculated formation energy = 0.230 eV/atom
1.0
-0.276 -4.003 -2.758
2.223 -2.669 -3.411
3.079 -4.393 2.807
Fe Ag
5 1
Cartesian
1.877 -5.311 -3.663
1.725 -3.743 -1.043
1.539 -2.197 1.403
3.302 -7.322 -2.319
3.150 -5.754 0.301
0.000 0.000 0.000

Record 10
CrCdRu | Alexandria | PBE-GGA | optimized geometry; space group = Fmm2 (42); energy above the lowest structure with this stoichiometry = 0.70 eV per formula unit; VASP energy = -0.2261 hartree per atom; calculated formation energy = 0.453 eV/atom
1.0
-3.053 -5.240 4.054
-2.064 -6.510 1.866
1.553 -0.185 2.221
Cd Cr Ru
1 1 1
Cartesian
-5.101 -11.724 5.911
-0.585 -3.893 3.407
-2.994 -8.069 4.742

Record 11
MgTi2ZnO6 | Alexandria | PBE-GGA | optimized geometry; space group = C2/c (15); formation energy from raw total energies = -250.8 kJ/mol of atoms; energy above the lowest structure with this stoichiometry = 0.64 eV per formula unit; VASP energy = -0.2734 hartree per atom
1.0
-0.730 2.881 4.493
1.627 -4.728 4.558
6.316 2.281 0.825
Mg Ti Zn O
2 4 2 12
Cartesian
1.865 -3.380 5.347
5.349 3.814 4.529
4.926 -1.755 5.006
1.782 -0.552 3.316
2.288 2.189 4.870
5.431 0.986 6.560
4.923 1.191 2.912
2.291 -0.757 6.963
6.511 -2.411 5.660
0.241 0.168 2.628
0.703 2.845 4.216
6.973 0.266 7.248
3.459 -2.124 5.944
1.820 -2.320 3.516
3.755 2.558 3.932
5.394 2.755 6.359
4.050 0.514 7.729
2.109 0.328 4.942
3.164 -0.080 2.146
5.105 0.106 4.933

Record 12
Ho2TmZn3 | Alexandria | PBE-GGA | optimized geometry; space group = P4/mmm (123); VASP energy = -0.1196 hartree per atom; calculated formation energy = -0.346 eV/atom
1.0
3.545 0.000 0.000
0.000 3.545 0.000
0.000 0.000 10.616
Ho Tm Zn
2 1 3
Cartesian
1.773 1.773 8.839
1.773 1.773 1.778
1.773 1.773 5.308
0.000 0.000 0.000
0.000 0.000 7.046
0.000 0.000 3.570

Number 1: magnetization 0.00 Bohr magnetons per cell, Fermi-level density of states 0.35 states/eV/atom. Number 2: magnetization 0.00 Bohr magnetons per cell, Fermi-level density of states 0.44 states/eV/atom. Number 3: magnetization 0.00 Bohr magnetons per cell, Fermi-level density of states 0.57 states/eV/atom. Number 4: magnetization 7.51 Bohr magnetons per cell, Fermi-level density of states 0.60 states/eV/atom. Number 5: magnetization 0.00 Bohr magnetons per cell, Fermi-level density of states 0.24 states/eV/atom. Number 6: magnetization 6.02 Bohr magnetons per cell, Fermi-level density of states 0.71 states/eV/atom. Number 7: magnetization 4.68 Bohr magnetons per cell, Fermi-level density of states 1.36 states/eV/atom. Number 8: magnetization 0.00 Bohr magnetons per cell, Fermi-level density of states 0.47 states/eV/atom. Number 9: magnetization 13.20 Bohr magnetons per cell, Fermi-level density of states 1.03 states/eV/atom. Number 10: magnetization 0.00 Bohr magnetons per cell, Fermi-level density of states 1.42 states/eV/atom. Number 11: magnetization 0.00 Bohr magnetons per cell, Fermi-level density of states 0.00 states/eV/atom. Number 12: magnetization 0.00 Bohr magnetons per cell, Fermi-level density of states 1.07 states/eV/atom.